# 1
First-principles (PBE-GGA) data for a relaxed Hf5TaH8 crystal, as listed in Alexandria via LeMat-Bulk.

Cell lengths 5.8542, 5.8542, 5.8542 Å; angles 104.71, 119.49, 104.71 degrees
Sites, in units of the cell vectors:
Hf1 0.0391 0.4076 0.1451
Hf2 0.8549 0.8940 0.2625
Hf3 0.7375 0.5924 0.6315
Hf4 0.5000 0.0000 0.5000
Hf5 0.3685 0.1060 0.9609
Ta1 0.2500 0.5000 0.7500
H1 0.1680 0.7452 0.9459
H2 0.0541 0.2221 0.7993
H3 0.6995 0.2242 0.3828
H4 0.6172 0.3167 0.8414
H5 0.5247 0.6833 0.3005
H6 0.5772 0.7779 0.8320
H7 0.2007 0.2548 0.4228
H8 0.1586 0.7758 0.4753

## Properties
Crystal system: tetragonal
Volume in A^3/atom: 10.78
Symmetry: I-4 (82)
Raw total energy in eV/atom: -6.37


# 2
First-principles (PBE-GGA) data for a relaxed Pr3CdHg crystal, as listed in Alexandria via LeMat-Bulk.

Cell lengths 7.1353, 7.1353, 9.0432 Å; angles 66.76, 66.76, 60.00 degrees
Sites, in units of the cell vectors:
Pr1 0.3935 0.8983 0.3147
Pr2 0.8983 0.3935 0.3147
Pr3 0.3935 0.3935 0.3147
Pr4 0.6065 0.6065 0.6853
Pr5 0.1017 0.6065 0.6853
Pr6 0.6065 0.1017 0.6853
Cd1 0.1186 0.1186 0.6442
Cd2 0.8814 0.8814 0.3558
Hg1 0.3342 0.3342 0.9973
Hg2 0.6658 0.6658 0.0027

## Properties
Crystal system: trigonal
Volume in A^3/atom: 35.50
Symmetry: R-3m (166)
Raw total energy in eV/atom: -3.19
Polymorph energy (0 for the lowest one) in meV/atom: 223
Formation energy from the elements in kJ per mole of atoms: -7.9


# 3
First-principles (PBE-GGA) data for a relaxed CoTc2 crystal, as listed in Alexandria via LeMat-Bulk.

Cell lengths 4.6106, 4.6106, 4.6106 Å; angles 146.67, 131.30, 60.30 degrees
Site moments in Bohr magnetons follow the coordinates.
Sites, in units of the cell vectors:
Co1 0.0000 0.0000 0.0000  1.02
Tc1 0.6626 0.6626 0.0000  0.06
Tc2 0.3374 0.3374 0.0000  0.06

## Properties
Crystal system: orthorhombic
Volume in A^3/atom: 13.36
Symmetry: Immm (71)
Raw total energy in eV/atom: -9.19
Polymorph energy (0 for the lowest one) in meV/atom: 75
Formation energy from the elements in kJ per mole of atoms: 8.4